# 1
An optimized crystal structure of BaO2, computed with PBE.

The mass density is 5.40 g cm⁻³. The calculation puts the formation energy without anion corrections at -1842 meV per atom. Its magnetic moment is 0.0 μB per formula unit. The calculation puts the volume at 17.36 Å³ per atom.

Cell lengths 3.8644, 3.8644, 6.9731 Å; angles 90.00, 90.00, 90.00 degrees
Last column: nearest neighbours and their distance in Å.
Space group I4/mmm (No. 139)
Inequivalent atoms, fractional coordinates:
Ba  0.0000  0.0000  0.0000 [2 per cell]  10 O 2.74-2.83
O  0.0000  0.0000  0.3923 [4 per cell]  1 O 1.50

=====

# 2
An optimized crystal structure of BaO5, computed with PBE.

The mass density is 3.77 g cm⁻³. The calculation puts the formation energy without anion corrections at -669 meV per atom. The value obtained for the offset from the most stable computed form is 82 meV/atom. Its magnetic moment is 0.5 μB per formula unit. The calculation puts the volume at 15.96 Å³ per atom.

Cell lengths 6.8035, 10.6882, 5.2689 Å; angles 90.00, 90.00, 90.00 degrees
Last column: nearest neighbours and their distance in Å.
Space group Pnma (No. 62)
Inequivalent atoms, fractional coordinates:
Ba  0.0804  0.2500  0.0216 [4 per cell]  7 O 2.69-2.98
O  0.0265  0.7500  0.4725 [4 per cell]  2 O 1.94
O  0.0868  0.0835  0.5516 [8 per cell]  1 O 1.30
O  0.2492  0.0843  0.4202 [8 per cell]  1 O 1.30

=====

# 3
An optimized crystal structure of BaO2, computed with PBE.

The mass density is 4.87 g cm⁻³. The calculation puts the formation energy without anion corrections at -1270 meV per atom. Its magnetic moment is 2.0 μB per formula unit. The calculation puts the volume at 19.24 Å³ per atom.

Cell lengths 7.1005, 7.9414, 9.9661 Å; angles 90.00, 124.73, 90.00 degrees
Last column: nearest neighbours and their distance in Å.
Space group P2_1/c (No. 14)
Inequivalent atoms, fractional coordinates:
Ba  0.0702  0.0385  0.3330 [4 per cell]  6 O 2.61-2.88
Ba  0.4147  0.6162  0.6374 [4 per cell]  8 O 2.61-2.91
O  0.0835  0.1274  0.0588 [4 per cell]  2 O 2.28-2.30
O  0.2641  0.1584  0.9305 [4 per cell]  2 O 2.28-2.55
O  0.2647  0.5740  0.1301 [4 per cell]  1 O 2.37, 3 Ba 2.61-2.62
O  0.3246  0.7409  0.3479 [4 per cell]  2 O 2.37-2.55

=====

# 4
An optimized crystal structure of Ba3OsO8, computed with PBE.

The mass density is 5.89 g cm⁻³. The calculation puts the formation energy without anion corrections at -1332 meV per atom. The value obtained for the offset from the most stable computed form is 359 meV/atom. Its magnetic moment is 6.1 μB per formula unit. The calculation puts the volume at 17.17 Å³ per atom.

Cell lengths 5.9542, 5.9542, 11.6233 Å; angles 90.00, 90.00, 90.00 degrees
Last column: nearest neighbours and their distance in Å.
Space group I4/mmm (No. 139)
Inequivalent atoms, fractional coordinates:
Ba  0.0000  0.0000  0.0000 [2 per cell]  8 O 2.81
Ba  0.0000  0.5000  0.2500 [4 per cell]  8 O 2.75
Os  0.0000  0.0000  0.5000 [2 per cell]  8 O 2.05
O  0.1983  0.1983  0.3974 [16 per cell]  1 Os 2.05

=====

# 5
An optimized crystal structure of Ba6OsO12, computed with PBE.

The mass density is 5.28 g cm⁻³. The calculation puts the formation energy without anion corrections at -1836 meV per atom. Its magnetic moment is 4.0 μB per formula unit. The calculation puts the volume at 19.98 Å³ per atom.

Cell lengths 11.1031, 11.1031, 10.6682 Å; angles 90.00, 90.00, 120.00 degrees
Last column: nearest neighbours and their distance in Å.
Space group R-3 (No. 148, hexagonal axes)
Inequivalent atoms, fractional coordinates:
Ba  0.0682  0.4735  0.3188 [18 per cell]  6 O 2.61-2.87
Os  0.0000  0.0000  0.0000 [3 per cell]  6 O 1.89
O  0.0403  0.1563  0.9001 [18 per cell]  1 Os 1.89
O  0.0661  0.2490  0.3986 [18 per cell]  1 O 2.50, 4 Ba 2.61-2.71

=====

# 6
An optimized crystal structure of BaOsO4, computed with PBE.

The mass density is 7.34 g cm⁻³. The calculation puts the formation energy without anion corrections at -1658 meV per atom. The value obtained for the offset from the most stable computed form is 32 meV/atom. Its magnetic moment is 0.0 μB per formula unit. The calculation puts the volume at 14.77 Å³ per atom.

Cell lengths 3.9342, 14.9931, 6.0085 Å; angles 90.00, 90.00, 90.00 degrees
Last column: nearest neighbours and their distance in Å.
Space group Cmcm (No. 63)
Inequivalent atoms, fractional coordinates:
Ba  0.0000  0.1589  0.2500 [4 per cell]  6 O 2.63-2.80
Os  0.0000  0.4165  0.2500 [4 per cell]  6 O 1.88-1.97
O  0.0000  0.0779  0.7500 [4 per cell]  2 Os 1.97
O  0.0000  0.3248  0.0372 [8 per cell]  1 Os 1.88
O  0.0000  0.5000  0.0000 [4 per cell]  2 Os 1.96